1.
The following is a DFT calculation (PBE-GGA) of a geometry-optimized Ac2AlBPd6 structure. Values from VASP.

The structure in Quantum ESPRESSO input format:
```
&SYSTEM
  ibrav = 0, nat = 10, ntyp = 4
/
ATOMIC_SPECIES
Pd 106.42 Pd.upf
Al 26.98 Al.upf
B 10.81 B.upf
Ac 227.00 Ac.upf
CELL_PARAMETERS angstrom
-1.429 -3.113 -4.874
3.203 -5.843 2.790
-3.564 -4.740 0.432
ATOMIC_POSITIONS crystal
Pd 0.786 0.316 0.948
Pd 0.214 0.684 0.052
Pd 0.734 0.686 0.532
Pd 0.734 0.684 0.052
Al 0.000 0.000 0.000
B 0.500 0.500 0.000
Pd 0.266 0.316 0.948
Ac 0.727 0.180 0.545
Pd 0.266 0.314 0.468
Ac 0.273 0.820 0.455
```

Computed properties:
Density ... 9.6 g/cm³
Magnetic moment ... 0.0 μB/f.u.
D(E_F) ... 3.3 states/eV/cell
Energy of formation from the pure elements ... -7.3 eV per formula unit

2.
The following is a DFT calculation (PBE-GGA) of a geometry-optimized AcAlBPd6 structure. Values from VASP.

The structure in Quantum ESPRESSO input format:
```
&SYSTEM
  ibrav = 0, nat = 18, ntyp = 4
/
ATOMIC_SPECIES
Pd 106.42 Pd.upf
B 10.81 B.upf
Al 26.98 Al.upf
Ac 227.00 Ac.upf
CELL_PARAMETERS angstrom
6.970 0.000 0.000
0.000 8.488 0.000
-3.485 -4.244 5.646
ATOMIC_POSITIONS crystal
Pd 0.405 0.109 0.248
Pd 0.157 0.361 0.752
Pd 0.098 0.848 0.196
Pd 0.541 0.291 0.081
Pd 0.595 0.361 0.752
Pd 0.405 0.639 0.248
B 0.500 0.500 0.000
Al 0.500 0.000 0.500
B 0.500 0.000 0.000
Pd 0.595 0.891 0.752
Pd 0.902 0.152 0.804
Pd 0.459 0.709 0.919
Al 0.000 0.000 0.500
Pd 0.843 0.639 0.248
Ac 0.172 0.422 0.344
Ac 0.828 0.578 0.656
Pd 0.157 0.891 0.752
Pd 0.843 0.109 0.248
```

Computed properties:
Density ... 9.0 g/cm³
Magnetic moment ... 0.0 μB/f.u.
D(E_F) ... 6.1 states/eV/cell
Energy of formation from the pure elements ... -4.1 eV per formula unit

3.
The following is a DFT calculation (PBE-GGA) of a geometry-optimized Ac2AlBPt6 structure. Values from VASP.

The structure in Quantum ESPRESSO input format:
```
&SYSTEM
  ibrav = 0, nat = 10, ntyp = 4
/
ATOMIC_SPECIES
B 10.81 B.upf
Pt 195.08 Pt.upf
Ac 227.00 Ac.upf
Al 26.98 Al.upf
CELL_PARAMETERS angstrom
-6.004 -0.270 -0.270
-0.043 -3.747 4.706
2.687 6.174 1.095
ATOMIC_POSITIONS crystal
B 0.074 0.074 0.147
Pt 0.203 0.203 0.938
Pt 0.275 0.276 0.551
Pt 0.735 0.203 0.938
Ac 0.217 0.718 0.435
Al 0.558 0.558 0.115
Pt 0.781 0.782 0.563
Pt 0.735 0.736 0.938
Pt 0.203 0.736 0.938
Ac 0.717 0.218 0.435
```

Computed properties:
Density ... 14.3 g/cm³
Magnetic moment ... 0.0 μB/f.u.
D(E_F) ... 2.4 states/eV/cell
Energy of formation from the pure elements ... -9.3 eV per formula unit

4.
The following is a DFT calculation (PBE-GGA) of a geometry-optimized Ac2AlBRh6 structure. Values from VASP.

The structure in Quantum ESPRESSO input format:
```
&SYSTEM
  ibrav = 0, nat = 10, ntyp = 4
/
ATOMIC_SPECIES
Rh 102.91 Rh.upf
Ac 227.00 Ac.upf
Al 26.98 Al.upf
B 10.81 B.upf
CELL_PARAMETERS angstrom
6.359 -0.001 -0.014
0.000 6.359 -0.014
3.170 3.169 4.484
ATOMIC_POSITIONS crystal
Rh 0.732 0.268 0.000
Rh 0.268 0.268 0.998
Ac 0.249 0.751 0.500
Rh 0.732 0.732 0.002
Rh 0.268 0.268 0.465
Al 0.000 0.000 0.000
Rh 0.268 0.732 0.000
Ac 0.751 0.249 0.500
Rh 0.732 0.732 0.535
B 0.500 0.500 0.000
```

Computed properties:
Density ... 10.1 g/cm³
Magnetic moment ... 0.0 μB/f.u.
D(E_F) ... 10.6 states/eV/cell
Energy of formation from the pure elements ... -5.9 eV per formula unit

5.
The following is a DFT calculation (PBE-GGA) of a geometry-optimized AcAlBRu2 structure. Values from VASP.

The structure in Quantum ESPRESSO input format:
```
&SYSTEM
  ibrav = 0, nat = 10, ntyp = 4
/
ATOMIC_SPECIES
Al 26.98 Al.upf
Ru 101.07 Ru.upf
B 10.81 B.upf
Ac 227.00 Ac.upf
CELL_PARAMETERS angstrom
4.357 0.000 0.000
-2.179 5.734 0.000
0.000 0.000 7.280
ATOMIC_POSITIONS crystal
Al 0.715 0.430 0.750
Ru 0.832 0.663 0.440
Ru 0.168 0.337 0.560
B 0.000 0.000 0.000
Ac 0.564 0.127 0.250
Ru 0.168 0.337 0.940
B 0.000 0.000 0.500
Al 0.285 0.570 0.250
Ru 0.832 0.663 0.060
Ac 0.436 0.873 0.750
```

Computed properties:
Density ... 8.5 g/cm³
Magnetic moment ... 0.0 μB/f.u.
D(E_F) ... 7.6 states/eV/cell
Energy of formation from the pure elements ... -1.6 eV per formula unit

6.
The following is a DFT calculation (PBE-GGA) of a geometry-optimized AcAl2BRu2 structure. Values from VASP.

The structure in Quantum ESPRESSO input format:
```
&SYSTEM
  ibrav = 0, nat = 6, ntyp = 4
/
ATOMIC_SPECIES
Ru 101.07 Ru.upf
B 10.81 B.upf
Al 26.98 Al.upf
Ac 227.00 Ac.upf
CELL_PARAMETERS angstrom
-4.156 0.649 0.665
-0.489 -4.119 0.962
1.084 1.183 5.614
ATOMIC_POSITIONS crystal
Ru 0.000 0.500 0.000
B 0.000 0.000 0.000
Al 0.500 0.500 0.754
Ac 0.000 0.000 0.500
Al 0.500 0.500 0.246
Ru 0.500 0.000 0.000
```

Computed properties:
Density ... 7.7 g/cm³
Magnetic moment ... 0.0 μB/f.u.
D(E_F) ... 2.5 states/eV/cell
Energy of formation from the pure elements ... -3.5 eV per formula unit

7.
The following is a DFT calculation (PBE-GGA) of a geometry-optimized AcAl2Tc2B structure. Values from VASP.

The structure in Quantum ESPRESSO input format:
```
&SYSTEM
  ibrav = 0, nat = 6, ntyp = 4
/
ATOMIC_SPECIES
Al 26.98 Al.upf
B 10.81 B.upf
Tc 98.00 Tc.upf
Ac 227.00 Ac.upf
CELL_PARAMETERS angstrom
-1.934 1.622 -3.507
-3.641 -2.078 1.046
-1.748 4.627 3.105
ATOMIC_POSITIONS crystal
Al 0.500 0.500 0.752
B 0.000 0.000 0.000
Al 0.500 0.500 0.248
Tc 0.500 0.000 0.000
Ac 0.000 0.000 0.500
Tc 0.000 0.500 0.000
```

Computed properties:
Density ... 7.4 g/cm³
Magnetic moment ... 0.0 μB/f.u.
D(E_F) ... 3.4 states/eV/cell
Energy of formation from the pure elements ... -2.5 eV per formula unit

8.
The following is a DFT calculation (PBE-GGA) of a geometry-optimized BaAcAl structure. Values from VASP.

The structure in Quantum ESPRESSO input format:
```
&SYSTEM
  ibrav = 0, nat = 3, ntyp = 3
/
ATOMIC_SPECIES
Al 26.98 Al.upf
Ac 227.00 Ac.upf
Ba 137.33 Ba.upf
CELL_PARAMETERS angstrom
4.085 0.000 0.000
0.000 5.636 0.000
0.000 -2.818 4.881
ATOMIC_POSITIONS crystal
Al 0.040 0.000 0.000
Ac 0.272 0.333 0.667
Ba 0.688 0.667 0.333
```

Computed properties:
Density ... 5.8 g/cm³
Magnetic moment ... 0.0 μB/f.u.
D(E_F) ... 2.8 states/eV/cell
Energy of formation from the pure elements ... 0.2 eV per formula unit
Offset from the most stable computed form ... 0.210 eV/atom

The lowest D(E_F) belongs to which entry?
Ac2AlBPt6